[1]
The following is a DFT calculation (PBE-GGA) of crystalline ScCoTe2 at its relaxed geometry.

a b c (Å): 6.199 6.199 7.606
angles (deg): 65.95 65.95 90.00
Each line ends with the local moment (μB).
Fractional coordinates of all 8 atoms:
Sc 0.500 0.500 0.000  0.03
Sc 0.250 0.750 0.500  0.04
Te 0.662 0.125 0.250  0.05
Te 0.088 0.625 0.250  0.05
Te 0.375 0.338 0.750  0.04
Te 0.875 0.912 0.750  0.04
Co 0.000 0.000 0.000  1.72
Co 0.750 0.250 0.500  1.73

Computed properties:
The space group is I-42d. The calculated volume is 29.85 Å³ per atom. For the energy, the calculation gives -0.195 Ha/atom. The uncorrected formation energy is -35.2 kJ/mol of atoms.

[2]
The following is a DFT calculation (PBE-GGA) of crystalline ScCoTe2 at its relaxed geometry.

a b c (Å): 7.648 4.807 3.506
angles (deg): 90.01 62.69 128.93
Each line ends with the local moment (μB).
Fractional coordinates of all 4 atoms:
Co 0.000 0.500 0.500  0.88
Sc 0.500 0.500 0.000  -0.07
Te 0.000 0.000 0.000  -0.01
Te 0.500 0.000 0.500  -0.01

Computed properties:
The space group is P4/mmm. The calculated volume is 20.24 Å³ per atom. For the energy, the calculation gives -0.191 Ha/atom. The uncorrected formation energy is -25.6 kJ/mol of atoms.

[3]
The following is a DFT calculation (PBE-GGA) of crystalline ScCoTe2 at its relaxed geometry.

a b c (Å): 4.084 4.084 6.762
angles (deg): 72.45 72.45 60.03
Each line ends with the local moment (μB).
Fractional coordinates of all 4 atoms:
Co 0.250 0.250 0.250  1.61
Sc 0.750 0.750 0.750  0.15
Te 0.991 0.991 0.028  0.05
Te 0.509 0.509 0.472  0.05

Computed properties:
The space group is R-3m. The calculated volume is 22.89 Å³ per atom. For the energy, the calculation gives -0.198 Ha/atom. The uncorrected formation energy is -45.0 kJ/mol of atoms.

[4]
The following is a DFT calculation (PBE-GGA) of crystalline ScCoTe3 at its relaxed geometry.

a b c (Å): 5.501 5.501 5.501
angles (deg): 90.00 90.00 90.00
Each line ends with the local moment (μB).
Fractional coordinates of all 5 atoms:
Sc 0.000 0.000 0.000  0.02
Te 0.000 0.500 0.000  0.05
Te 0.000 0.000 0.500  0.05
Te 0.500 0.000 0.000  0.02
Co 0.500 0.500 0.500  2.25

Computed properties:
The space group is Pm-3m. The calculated volume is 33.30 Å³ per atom. For the energy, the calculation gives -0.151 Ha/atom. The uncorrected formation energy is 44.3 kJ/mol of atoms. The calculation puts the energy above the lowest structure with this stoichiometry at 0.415 eV per atom.

[5]
The following is a DFT calculation (PBE-GGA) of crystalline Sc6CoTe2 at its relaxed geometry.

a b c (Å): 6.231 6.231 12.791
angles (deg): 90.00 90.00 90.00
Fractional coordinates of all 18 atoms:
Sc 0.317 0.317 0.365
Sc 0.683 0.683 0.365
Sc 0.183 0.817 0.865
Sc 0.817 0.183 0.865
Sc 0.183 0.817 0.135
Sc 0.817 0.183 0.135
Sc 0.317 0.317 0.635
Sc 0.683 0.683 0.635
Sc 0.282 0.282 0.000
Sc 0.718 0.718 0.000
Sc 0.218 0.782 0.500
Sc 0.782 0.218 0.500
Co 0.000 0.000 0.000
Co 0.500 0.500 0.500
Te 0.000 0.000 0.324
Te 0.500 0.500 0.824
Te 0.500 0.500 0.176
Te 0.000 0.000 0.676

Computed properties:
The space group is P4_2/mnm. The calculated volume is 27.59 Å³ per atom. For the energy, the calculation gives -0.223 Ha/atom. The uncorrected formation energy is -33.4 kJ/mol of atoms.

[6]
The following is a DFT calculation (PBE-GGA) of crystalline ScCoTe2 at its relaxed geometry.

a b c (Å): 3.541 3.541 7.193
angles (deg): 90.00 90.00 104.76
Each line ends with the local moment (μB).
Fractional coordinates of all 4 atoms:
Co 0.500 0.500 0.250  1.47
Sc 0.500 0.500 0.750  -0.02
Te 0.000 0.000 0.017  0.05
Te 0.000 0.000 0.483  0.05

Computed properties:
The space group is Cmmm. The calculated volume is 21.80 Å³ per atom. For the energy, the calculation gives -0.187 Ha/atom. The uncorrected formation energy is -14.6 kJ/mol of atoms.